## Sr2In3Pb2 (PBE-GGA)

Data for crystalline Sr2In3Pb2 at its relaxed geometry.

Results
magnetic moment	0.000	μB per formula unit
calculated total energy	-21.400	eV per cell
crystal system	monoclinic
Fermi-level density of states	3.950	states/eV/f.u.
theoretical density	6941	kg/m³
energy relative to the elements	-0.34	eV per atom

Cell and atoms, written as POSCAR:
```
Sr2In3Pb2
1.0
6.083 -2.445 0.000
6.083 2.445 0.000
-2.065 0.000 7.512
Sr In Pb
2 3 2
Direct
0.130 0.130 0.266 Sr
0.870 0.870 0.734 Sr
0.398 0.398 0.074 In
0.500 0.500 0.500 In
0.602 0.602 0.926 In
0.168 0.168 0.739 Pb
0.832 0.832 0.261 Pb
```

---

## Ba2DyTlF8 (PBE-GGA)

Data for crystalline Ba2DyTlF8 at its relaxed geometry.

Results
magnetic moment	0.000	μB per formula unit
calculated total energy	-68.934	eV per cell
crystal system	tetragonal
Fermi-level density of states	0.000	states/eV/f.u.
theoretical density	5876	kg/m³
formation energy (no corrections)	-3596	meV/atom

Cell and atoms, written as POSCAR:
```
Ba2DyTlF8
1.0
-3.016 3.016 6.164
3.016 -3.016 6.164
3.016 3.016 -6.164
Ba Dy Tl F
2 1 1 8
Direct
0.000 0.000 0.000 Ba
0.750 0.250 0.500 Ba
0.250 0.750 0.500 Dy
0.500 0.500 0.000 Tl
0.127 0.077 0.485 F
0.127 0.641 0.050 F
0.359 0.409 0.485 F
0.359 0.873 0.950 F
0.591 0.077 0.950 F
0.591 0.641 0.515 F
0.923 0.409 0.050 F
0.923 0.873 0.515 F
```

---

## Ca2ScAg2 (PBE-GGA)

Data for crystalline Ca2ScAg2 at its relaxed geometry.

Results
magnetic moment	1.245	μB per formula unit
calculated total energy	-15.357	eV per cell
relative energy among the computed polymorphs	327	meV/atom
crystal system	tetragonal
Fermi-level density of states	5.133	states/eV/f.u.
theoretical density	4075	kg/m³
energy relative to the elements	0.14	eV per atom

Cell and atoms, written as POSCAR:
```
Ca2ScAg2
1.0
-2.300 2.300 6.561
2.300 -2.300 6.561
2.300 2.300 -6.561
Ca Sc Ag
2 1 2
Direct
0.250 0.750 0.500 Ca
0.750 0.250 0.500 Ca
0.000 0.000 0.000 Sc
0.400 0.400 0.000 Ag
0.600 0.600 0.000 Ag
```

---

## Na3InBi3 (PBE-GGA)

Data for crystalline Na3InBi3 at its relaxed geometry.

Results
magnetic moment	0.000	μB per formula unit
calculated total energy	-38.617	eV per cell
crystal system	monoclinic
Fermi-level density of states	3.034	states/eV/f.u.
theoretical density	6540	kg/m³
energy relative to the elements	-0.14	eV per atom

Cell and atoms, written as POSCAR:
```
Na3InBi3
1.0
9.154 0.000 0.000
0.000 5.670 0.000
-4.572 0.000 7.932
Na In Bi
6 2 6
Direct
0.023 0.250 0.402 Na
0.121 0.750 0.023 Na
0.402 0.750 0.880 Na
0.598 0.250 0.120 Na
0.879 0.250 0.977 Na
0.977 0.750 0.598 Na
0.166 0.250 0.833 In
0.834 0.750 0.167 In
0.235 0.750 0.423 Bi
0.312 0.250 0.233 Bi
0.423 0.250 0.688 Bi
0.577 0.750 0.312 Bi
0.688 0.750 0.767 Bi
0.765 0.250 0.577 Bi
```

---

## LiPaSiO6 (PBE-GGA)

Data for crystalline LiPaSiO6 at its relaxed geometry.

Results
magnetic moment	2.025	μB per formula unit
calculated total energy	-68.111	eV per cell
crystal system	trigonal
Fermi-level density of states	4.124	states/eV/f.u.
theoretical density	5914	kg/m³
formation energy (no corrections)	-2392	meV/atom

Cell and atoms, written as POSCAR:
```
LiPaSiO6
1.0
5.022 0.000 0.000
-2.511 4.349 0.000
0.000 0.000 4.654
Li Pa Si O
1 1 1 6
Direct
0.000 0.000 0.000 Li
0.667 0.333 0.500 Pa
0.333 0.667 0.000 Si
0.037 0.381 0.218 O
0.037 0.656 0.782 O
0.344 0.381 0.782 O
0.344 0.963 0.218 O
0.619 0.656 0.218 O
0.619 0.963 0.782 O
```

---

## CaTl2Re (PBE-GGA)

Data for crystalline CaTl2Re at its relaxed geometry.

Results
magnetic moment	0.000	μB per formula unit
calculated total energy	-16.826	eV per cell
relative energy among the computed polymorphs	59	meV/atom
crystal system	cubic
Fermi-level density of states	4.097	states/eV/f.u.
theoretical density	11997	kg/m³
energy relative to the elements	0.59	eV per atom

Cell and atoms, written as POSCAR:
```
CaTl2Re
1.0
0.000 3.529 3.529
3.529 0.000 3.529
3.529 3.529 0.000
Ca Tl Re
1 2 1
Direct
0.000 0.000 0.000 Ca
0.250 0.250 0.250 Tl
0.750 0.750 0.750 Tl
0.500 0.500 0.500 Re
```

---

## Be2CdAg (PBE-GGA)

Data for crystalline Be2CdAg at its relaxed geometry.

Results
magnetic moment	0.000	μB per formula unit
calculated total energy	-10.051	eV per cell
crystal system	monoclinic
Fermi-level density of states	0.816	states/eV/f.u.
theoretical density	7156	kg/m³
energy relative to the elements	0.29	eV per atom

Cell and atoms, written as POSCAR:
```
Be2CdAg
1.0
4.641 -1.416 0.000
4.641 1.416 0.000
-1.476 0.000 4.208
Be Cd Ag
2 1 1
Direct
0.000 0.000 0.000 Be
0.699 0.699 0.252 Be
0.463 0.463 0.468 Cd
0.249 0.249 0.817 Ag
```

---

## Sm3YAu (PBE-GGA)

Data for crystalline Sm3YAu at its relaxed geometry.

Results
magnetic moment	0.000	μB per formula unit
calculated total energy	-50.361	eV per cell
crystal system	monoclinic
Fermi-level density of states	5.523	states/eV/f.u.
theoretical density	7972	kg/m³
energy relative to the elements	-0.26	eV per atom

Cell and atoms, written as POSCAR:
```
Sm3YAu
1.0
7.448 0.000 0.000
0.000 5.356 0.000
-0.002 0.000 7.696
Sm Y Au
6 2 2
Direct
0.031 0.250 0.182 Sm
0.250 0.250 0.707 Sm
0.469 0.250 0.182 Sm
0.531 0.750 0.818 Sm
0.750 0.750 0.293 Sm
0.969 0.750 0.818 Sm
0.251 0.750 0.441 Y
0.749 0.250 0.559 Y
0.250 0.750 0.078 Au
0.750 0.250 0.922 Au
```

---

## CeYH (PBE-GGA)

Data for crystalline CeYH at its relaxed geometry.

Results
magnetic moment	0.451	μB per formula unit
calculated total energy	-15.935	eV per cell
relative energy among the computed polymorphs	159	meV/atom
crystal system	tetragonal
Fermi-level density of states	5.682	states/eV/f.u.
theoretical density	5832	kg/m³

Cell and atoms, written as POSCAR:
```
CeYH
1.0
-1.637 1.637 6.111
1.637 -1.637 6.111
1.637 1.637 -6.111
Ce Y H
1 1 1
Direct
0.000 0.000 0.000 Ce
0.713 0.713 0.000 Y
0.186 0.186 0.000 H
```

---

## MnSb2Cl (PBE-GGA)

Data for crystalline MnSb2Cl at its relaxed geometry.

Results
magnetic moment	4.156	μB per formula unit
calculated total energy	-19.348	eV per cell
relative energy among the computed polymorphs	179	meV/atom
crystal system	tetragonal
Fermi-level density of states	1.600	states/eV/f.u.
theoretical density	5549	kg/m³
formation energy (no corrections)	-22	meV/atom

Cell and atoms, written as POSCAR:
```
MnSb2Cl
1.0
3.200 0.000 0.000
0.000 3.200 0.000
0.000 0.000 9.758
Mn Sb Cl
1 2 1
Direct
0.000 0.000 0.000 Mn
0.000 0.000 0.479 Sb
0.500 0.500 0.212 Sb
0.500 0.500 0.859 Cl
```

---

## Sm2TmNi2 (PBE-GGA)

Data for crystalline Sm2TmNi2 at its relaxed geometry.

Results
magnetic moment	0.000	μB per formula unit
calculated total energy	-53.823	eV per cell
crystal system	tetragonal
Fermi-level density of states	4.633	states/eV/f.u.
theoretical density	8664	kg/m³
energy relative to the elements	-0.29	eV per atom

Cell and atoms, written as POSCAR:
```
Sm2TmNi2
1.0
7.582 0.000 0.000
0.000 7.582 0.000
0.000 0.000 3.914
Sm Tm Ni
4 2 4
Direct
0.168 0.332 0.000 Sm
0.332 0.832 0.000 Sm
0.668 0.168 0.000 Sm
0.832 0.668 0.000 Sm
0.000 0.000 0.500 Tm
0.500 0.500 0.500 Tm
0.123 0.623 0.500 Ni
0.377 0.123 0.500 Ni
0.623 0.877 0.500 Ni
0.877 0.377 0.500 Ni
```

---

## Th3ReBi2 (PBE-GGA)

Data for crystalline Th3ReBi2 at its relaxed geometry.

Results
magnetic moment	0.000	μB per formula unit
calculated total energy	-88.318	eV per cell
crystal system	monoclinic
Fermi-level density of states	4.455	states/eV/f.u.
theoretical density	11387	kg/m³
energy relative to the elements	-0.28	eV per atom

Cell and atoms, written as POSCAR:
```
Th3ReBi2
1.0
7.241 -3.174 0.000
7.241 3.174 0.000
-2.581 0.000 8.249
Th Re Bi
6 2 4
Direct
0.033 0.967 0.750 Th
0.364 0.365 0.932 Th
0.365 0.364 0.432 Th
0.635 0.636 0.568 Th
0.636 0.635 0.068 Th
0.967 0.033 0.250 Th
0.480 0.520 0.750 Re
0.520 0.480 0.250 Re
0.180 0.181 0.590 Bi
0.181 0.180 0.090 Bi
0.819 0.820 0.910 Bi
0.820 0.819 0.410 Bi
```